Record 1
Density functional theory data (PBE) for crystalline BaAl2Re at its relaxed geometry. Values from VASP.

Calculated values
crystal system	orthorhombic
V	24.1	Å³ per atom
magnetization	0.000	μB/f.u.

The structure in Quantum ESPRESSO input format:
```
&SYSTEM
  ibrav = 0, nat = 4, ntyp = 3
/
ATOMIC_SPECIES
Al 26.98 Al.upf
Ba 137.33 Ba.upf
Re 186.21 Re.upf
ATOMIC_POSITIONS crystal
Al 0.092 0.092 0.000
Al 0.736 0.236 0.500
Ba 0.439 0.439 0.000
Re 0.233 0.733 0.500
CELL_PARAMETERS angstrom
-3.907 2.368 6.419
-3.294 -2.871 6.556
5.623 1.476 -5.318
```

---

Record 2
Density functional theory data (PBE) for crystalline BaAlRe2 at its relaxed geometry. Values from VASP.

Calculated values
crystal system	tetragonal
V	21.5	Å³ per atom
magnetization	0.000	μB/f.u.

The structure in Quantum ESPRESSO input format:
```
&SYSTEM
  ibrav = 0, nat = 4, ntyp = 3
/
ATOMIC_SPECIES
Re 186.21 Re.upf
Ba 137.33 Ba.upf
Al 26.98 Al.upf
ATOMIC_POSITIONS crystal
Re 0.000 0.000 0.405
Re 0.000 0.000 0.095
Ba 0.500 0.500 0.750
Al 0.500 0.500 0.250
CELL_PARAMETERS angstrom
3.390 0.000 0.000
0.000 3.390 0.000
0.000 0.000 7.500
```

---

Record 3
Density functional theory data (PBE) for crystalline BaAl2Re at its relaxed geometry. Values from VASP.

Calculated values
crystal system	orthorhombic
V	21.3	Å³ per atom
magnetization	0.000	μB/f.u.

The structure in Quantum ESPRESSO input format:
```
&SYSTEM
  ibrav = 0, nat = 4, ntyp = 3
/
ATOMIC_SPECIES
Al 26.98 Al.upf
Ba 137.33 Ba.upf
Re 186.21 Re.upf
ATOMIC_POSITIONS crystal
Al 0.000 0.415 0.585
Al 0.000 0.085 0.915
Ba 0.500 0.250 0.250
Re 0.500 0.750 0.750
CELL_PARAMETERS angstrom
3.277 0.000 0.000
0.000 3.222 0.000
0.000 3.218 8.069
```

---

Record 4
Density functional theory data (PBE) for crystalline BaAl2Re at its relaxed geometry. Values from VASP.

Calculated values
crystal system	trigonal
V	21.2	Å³ per atom
magnetization	0.000	μB/f.u.

The structure in Quantum ESPRESSO input format:
```
&SYSTEM
  ibrav = 0, nat = 4, ntyp = 3
/
ATOMIC_SPECIES
Al 26.98 Al.upf
Re 186.21 Re.upf
Ba 137.33 Ba.upf
ATOMIC_POSITIONS crystal
Al 0.481 0.481 0.481
Al 0.019 0.019 0.019
Re 0.750 0.750 0.750
Ba 0.250 0.250 0.250
CELL_PARAMETERS angstrom
10.097 0.005 0.003
9.607 3.107 0.003
9.607 1.517 2.711
```

---

Calculated raw total energy in order - -5.2401 -7.0127 -5.3852 -5.0473 eV/atom